# 1
A relaxed structure of In5HgBi2Pb. Source: Alexandria, functional PBE.

Computed properties:
* SG: Cmc2_1 (36)
* total magnetization: 0.000 μB/atom
* calculated formation energy: 0.057 eV/atom
* total energy: -2.772 eV/atom

a = 9.373 Å, b = 9.373 Å, c = 13.639 Å
α = 90.00°, β = 90.00°, γ = 152.00°
Element x y z (fractional)
In (0.008, 0.992, 0.500)
In (0.119, 0.881, 0.235)
In (0.185, 0.815, 0.900)
In (0.198, 0.802, 0.549)
In (0.464, 0.536, 0.359)
In (0.536, 0.464, 0.859)
In (0.802, 0.198, 0.049)
In (0.815, 0.185, 0.400)
In (0.881, 0.119, 0.735)
In (0.992, 0.008, 0.000)
Hg (0.286, 0.714, 0.222)
Hg (0.714, 0.286, 0.722)
Bi (0.359, 0.641, 0.905)
Bi (0.369, 0.631, 0.558)
Bi (0.631, 0.369, 0.058)
Bi (0.641, 0.359, 0.405)
Pb (0.069, 0.931, 0.713)
Pb (0.931, 0.069, 0.213)

***

# 2
A relaxed structure of Eu3Cu5O12. Source: Alexandria, functional PBE.

Computed properties:
* SG: Ia-3d (230)
* total magnetization: 0.788 μB/atom
* total energy: -6.798 eV/atom
* raw formation energy: -1.26 eV/atom

a = 10.803 Å, b = 10.803 Å, c = 10.803 Å
α = 109.47°, β = 109.47°, γ = 109.47°
Element x y z (fractional)
Eu (0.125, 0.250, 0.375)
Eu (0.125, 0.375, 0.750)
Eu (0.250, 0.375, 0.125)
Eu (0.250, 0.875, 0.625)
Eu (0.375, 0.125, 0.250)
Eu (0.375, 0.750, 0.125)
Eu (0.625, 0.250, 0.875)
Eu (0.625, 0.875, 0.750)
Eu (0.750, 0.125, 0.375)
Eu (0.750, 0.625, 0.875)
Eu (0.875, 0.625, 0.250)
Eu (0.875, 0.750, 0.625)
Cu (0.000, 0.000, 0.000)
Cu (0.000, 0.000, 0.500)
Cu (0.000, 0.500, 0.000)
Cu (0.000, 0.500, 0.500)
Cu (0.125, 0.750, 0.875)
Cu (0.125, 0.875, 0.250)
Cu (0.250, 0.125, 0.875)
Cu (0.250, 0.625, 0.375)
Cu (0.375, 0.250, 0.625)
Cu (0.375, 0.625, 0.750)
Cu (0.500, 0.000, 0.000)
Cu (0.500, 0.000, 0.500)
Cu (0.500, 0.500, 0.000)
Cu (0.500, 0.500, 0.500)
Cu (0.625, 0.375, 0.250)
Cu (0.625, 0.750, 0.375)
Cu (0.750, 0.375, 0.625)
Cu (0.750, 0.875, 0.125)
Cu (0.875, 0.125, 0.750)
Cu (0.875, 0.250, 0.125)
O (0.026, 0.200, 0.120)
O (0.026, 0.326, 0.906)
O (0.080, 0.700, 0.674)
O (0.080, 0.880, 0.406)
O (0.094, 0.620, 0.420)
O (0.094, 0.974, 0.674)
O (0.120, 0.026, 0.200)
O (0.120, 0.594, 0.920)
O (0.174, 0.200, 0.580)
O (0.174, 0.474, 0.594)
O (0.200, 0.120, 0.026)
O (0.200, 0.580, 0.174)
O (0.300, 0.326, 0.920)
O (0.300, 0.474, 0.380)
O (0.326, 0.906, 0.026)
O (0.326, 0.920, 0.300)
O (0.380, 0.300, 0.474)
O (0.380, 0.580, 0.906)
O (0.406, 0.080, 0.880)
O (0.406, 0.826, 0.526)
O (0.420, 0.094, 0.620)
O (0.420, 0.826, 0.800)
O (0.474, 0.380, 0.300)
O (0.474, 0.594, 0.174)
O (0.526, 0.406, 0.826)
O (0.526, 0.620, 0.700)
O (0.580, 0.174, 0.200)
O (0.580, 0.906, 0.380)
O (0.594, 0.174, 0.474)
O (0.594, 0.920, 0.120)
O (0.620, 0.420, 0.094)
O (0.620, 0.700, 0.526)
O (0.674, 0.080, 0.700)
O (0.674, 0.094, 0.974)
O (0.700, 0.526, 0.620)
O (0.700, 0.674, 0.080)
O (0.800, 0.420, 0.826)
O (0.800, 0.880, 0.974)
O (0.826, 0.526, 0.406)
O (0.826, 0.800, 0.420)
O (0.880, 0.406, 0.080)
O (0.880, 0.974, 0.800)
O (0.906, 0.026, 0.326)
O (0.906, 0.380, 0.580)
O (0.920, 0.120, 0.594)
O (0.920, 0.300, 0.326)
O (0.974, 0.674, 0.094)
O (0.974, 0.800, 0.880)

***

# 3
A relaxed structure of PuTl2HgSe4. Source: Alexandria, functional PBE.

Computed properties:
* SG: P2/m (10)
* total magnetization: 0.509 μB/atom
* total energy: -4.803 eV/atom
* raw formation energy: -0.64 eV/atom

a = 7.389 Å, b = 4.175 Å, c = 8.069 Å
α = 90.00°, β = 110.19°, γ = 90.00°
Element x y z (fractional)
Pu (0.000, 0.000, 0.000)
Tl (0.000, 0.500, 0.500)
Tl (0.500, 0.000, 0.500)
Hg (0.500, 0.500, 0.000)
Se (0.212, 0.500, 0.218)
Se (0.263, 0.000, 0.802)
Se (0.737, 0.000, 0.198)
Se (0.788, 0.500, 0.782)

***

# 4
A relaxed structure of Ce6NpS12. Source: Alexandria, functional PBE.

Computed properties:
* SG: R-3 (148)
* total magnetization: 0.370 μB/atom
* total energy: -7.011 eV/atom
* raw formation energy: -1.85 eV/atom

a = 8.034 Å, b = 8.034 Å, c = 8.034 Å
α = 99.48°, β = 99.48°, γ = 99.48°
Element x y z (fractional)
Ce (0.121, 0.637, 0.804)
Ce (0.196, 0.879, 0.363)
Ce (0.363, 0.196, 0.879)
Ce (0.637, 0.804, 0.121)
Ce (0.804, 0.121, 0.637)
Ce (0.879, 0.363, 0.196)
Np (0.500, 0.500, 0.500)
S (0.068, 0.323, 0.918)
S (0.082, 0.932, 0.677)
S (0.178, 0.550, 0.436)
S (0.323, 0.918, 0.068)
S (0.436, 0.178, 0.550)
S (0.450, 0.564, 0.822)
S (0.550, 0.436, 0.178)
S (0.564, 0.822, 0.450)
S (0.677, 0.082, 0.932)
S (0.822, 0.450, 0.564)
S (0.918, 0.068, 0.323)
S (0.932, 0.677, 0.082)

***

# 5
A relaxed structure of LiPmGe2Pd2. Source: Alexandria, functional PBE.

Computed properties:
* SG: P-3m1 (164)
* total magnetization: 0.000 μB/atom
* calculated formation energy: -0.783 eV/atom
* total energy: -5.164 eV/atom

a = 4.291 Å, b = 4.291 Å, c = 6.813 Å
α = 90.00°, β = 90.00°, γ = 120.00°
Element x y z (fractional)
Li (0.000, 0.000, 0.000)
Pm (0.000, 0.000, 0.500)
Ge (0.333, 0.667, 0.769)
Ge (0.667, 0.333, 0.231)
Pd (0.333, 0.667, 0.144)
Pd (0.667, 0.333, 0.856)

***

# 6
A relaxed structure of Lu3Sn5Se12. Source: Alexandria, functional PBE.

Computed properties:
* SG: Ia-3d (230)
* total magnetization: 0.000 μB/atom
* total energy: -4.535 eV/atom
* raw formation energy: -0.77 eV/atom

a = 14.386 Å, b = 14.386 Å, c = 14.386 Å
α = 109.47°, β = 109.47°, γ = 109.47°
Element x y z (fractional)
Lu (0.125, 0.250, 0.375)
Lu (0.125, 0.375, 0.750)
Lu (0.250, 0.375, 0.125)
Lu (0.250, 0.875, 0.625)
Lu (0.375, 0.125, 0.250)
Lu (0.375, 0.750, 0.125)
Lu (0.625, 0.250, 0.875)
Lu (0.625, 0.875, 0.750)
Lu (0.750, 0.125, 0.375)
Lu (0.750, 0.625, 0.875)
Lu (0.875, 0.625, 0.250)
Lu (0.875, 0.750, 0.625)
Sn (0.000, 0.000, 0.000)
Sn (0.000, 0.000, 0.500)
Sn (0.000, 0.500, 0.000)
Sn (0.000, 0.500, 0.500)
Sn (0.125, 0.750, 0.875)
Sn (0.125, 0.875, 0.250)
Sn (0.250, 0.125, 0.875)
Sn (0.250, 0.625, 0.375)
Sn (0.375, 0.250, 0.625)
Sn (0.375, 0.625, 0.750)
Sn (0.500, 0.000, 0.000)
Sn (0.500, 0.000, 0.500)
Sn (0.500, 0.500, 0.000)
Sn (0.500, 0.500, 0.500)
Sn (0.625, 0.375, 0.250)
Sn (0.625, 0.750, 0.375)
Sn (0.750, 0.375, 0.625)
Sn (0.750, 0.875, 0.125)
Sn (0.875, 0.125, 0.750)
Sn (0.875, 0.250, 0.125)
Se (0.054, 0.226, 0.141)
Se (0.054, 0.327, 0.913)
Se (0.086, 0.726, 0.673)
Se (0.086, 0.859, 0.413)
Se (0.087, 0.641, 0.414)
Se (0.087, 0.946, 0.673)
Se (0.141, 0.054, 0.226)
Se (0.141, 0.587, 0.914)
Se (0.173, 0.226, 0.586)
Se (0.173, 0.446, 0.587)
Se (0.226, 0.141, 0.054)
Se (0.226, 0.586, 0.173)
Se (0.274, 0.327, 0.914)
Se (0.274, 0.446, 0.359)
Se (0.327, 0.913, 0.054)
Se (0.327, 0.914, 0.274)
Se (0.359, 0.274, 0.446)
Se (0.359, 0.586, 0.913)
Se (0.413, 0.086, 0.859)
Se (0.413, 0.827, 0.554)
Se (0.414, 0.087, 0.641)
Se (0.414, 0.827, 0.774)
Se (0.446, 0.359, 0.274)
Se (0.446, 0.587, 0.173)
Se (0.554, 0.413, 0.827)
Se (0.554, 0.641, 0.726)
Se (0.586, 0.173, 0.226)
Se (0.586, 0.913, 0.359)
Se (0.587, 0.173, 0.446)
Se (0.587, 0.914, 0.141)
Se (0.641, 0.414, 0.087)
Se (0.641, 0.726, 0.554)
Se (0.673, 0.086, 0.726)
Se (0.673, 0.087, 0.946)
Se (0.726, 0.554, 0.641)
Se (0.726, 0.673, 0.086)
Se (0.774, 0.414, 0.827)
Se (0.774, 0.859, 0.946)
Se (0.827, 0.554, 0.413)
Se (0.827, 0.774, 0.414)
Se (0.859, 0.413, 0.086)
Se (0.859, 0.946, 0.774)
Se (0.913, 0.054, 0.327)
Se (0.913, 0.359, 0.586)
Se (0.914, 0.141, 0.587)
Se (0.914, 0.274, 0.327)
Se (0.946, 0.673, 0.087)
Se (0.946, 0.774, 0.859)

***

# 7
A relaxed structure of VGeMoRu. Source: Alexandria, functional PBE.

Computed properties:
* SG: F-43m (216)
* total magnetization: 0.000 μB/atom
* calculated formation energy: -0.209 eV/atom
* total energy: -8.669 eV/atom

a = 4.318 Å, b = 4.318 Å, c = 4.318 Å
α = 60.00°, β = 60.00°, γ = 60.00°
Element x y z (fractional)
V (0.000, 0.000, 0.000)
Ge (0.500, 0.500, 0.500)
Mo (0.750, 0.750, 0.750)
Ru (0.250, 0.250, 0.250)

***

# 8
A relaxed structure of CrRuW. Source: Alexandria, functional PBE.

Computed properties:
* SG: Fmm2 (42)
* total magnetization: 0.006 μB/atom
* calculated formation energy: 0.240 eV/atom
* total energy: -10.377 eV/atom
* E above lowest polymorph: 0.25 eV/f.u.

a = 6.614 Å, b = 6.432 Å, c = 2.686 Å
α = 81.94°, β = 74.35°, γ = 23.71°
Element x y z (fractional)
Cr (0.000, 0.000, 0.000)
Ru (0.658, 0.658, 0.342)
W (0.335, 0.335, 0.665)

***

# 9
A relaxed structure of ThRu4. Source: Alexandria, functional PBE.

Computed properties:
* SG: Pm-3m (221)
* total magnetization: 1.096 μB/atom
* calculated formation energy: 2.040 eV/atom
* total energy: -6.864 eV/atom

a = 4.865 Å, b = 4.865 Å, c = 4.865 Å
α = 90.00°, β = 90.00°, γ = 90.00°
Element x y z (fractional)
Th (0.000, 0.000, 0.000)
Ru (0.000, 0.000, 0.500)
Ru (0.000, 0.500, 0.000)
Ru (0.500, 0.000, 0.000)
Ru (0.500, 0.500, 0.500)

***

# 10
A relaxed structure of YHo2Pd4. Source: Alexandria, functional PBE.

Computed properties:
* SG: I4/mmm (139)
* total magnetization: 0.000 μB/atom
* calculated formation energy: -0.595 eV/atom
* total energy: -5.793 eV/atom

a = 5.898 Å, b = 5.898 Å, c = 5.898 Å
α = 107.93°, β = 107.93°, γ = 112.60°
Element x y z (fractional)
Y (0.000, 0.000, 0.000)
Ho (0.000, 0.500, 0.500)
Ho (0.500, 0.000, 0.500)
Pd (0.000, 0.000, 0.500)
Pd (0.000, 0.500, 0.000)
Pd (0.500, 0.000, 0.000)
Pd (0.500, 0.500, 0.500)

***

# 11
A relaxed structure of NpTcSnOs. Source: Alexandria, functional PBE.

Computed properties:
* SG: F-43m (216)
* total magnetization: 0.594 μB/atom
* calculated formation energy: 0.067 eV/atom
* total energy: -9.568 eV/atom

a = 4.689 Å, b = 4.689 Å, c = 4.689 Å
α = 60.00°, β = 60.00°, γ = 60.00°
Element x y z (fractional)
Np (0.000, 0.000, 0.000)
Tc (0.250, 0.250, 0.250)
Sn (0.500, 0.500, 0.500)
Os (0.750, 0.750, 0.750)

***

# 12
A relaxed structure of NaSc4Hg5. Source: Alexandria, functional PBE.

Computed properties:
* SG: P4/mmm (123)
* total magnetization: 0.000 μB/atom
* calculated formation energy: -0.376 eV/atom
* total energy: -3.191 eV/atom

a = 3.535 Å, b = 3.535 Å, c = 17.988 Å
α = 90.00°, β = 90.00°, γ = 90.00°
Element x y z (fractional)
Na (0.000, 0.000, 0.000)
Sc (0.000, 0.000, 0.207)
Sc (0.000, 0.000, 0.403)
Sc (0.000, 0.000, 0.597)
Sc (0.000, 0.000, 0.793)
Hg (0.500, 0.500, 0.116)
Hg (0.500, 0.500, 0.306)
Hg (0.500, 0.500, 0.500)
Hg (0.500, 0.500, 0.694)
Hg (0.500, 0.500, 0.884)